# 1
Entry from Alexandria via LeMat-Bulk: a relaxed structure of Co2As (PBE-GGA).

```
Co2As
1.0
3.967 0.000 0.000
-1.984 3.436 0.000
0.000 0.000 5.147
Co As
4 2
direct
0.000 0.000 0.000 Co
0.000 0.000 0.500 Co
0.333 0.667 0.250 Co
0.667 0.333 0.750 Co
0.333 0.667 0.750 As
0.667 0.333 0.250 As
```

Raw total energy in eV per atom: -6.3316
Formation enthalpy at 0 K in eV per atom: -0.04
D(E_F) in states/eV/cell: 4.62
M_tot in μB per formula unit: 0.5

=====

# 2
Entry from Alexandria via LeMat-Bulk: a relaxed structure of TaCdHg3 (PBE-GGA).

```
TaCdHg3
1.0
5.458 0.000 0.000
0.000 5.458 0.000
0.000 0.000 5.458
Ta Cd Hg
1 1 3
direct
0.000 0.000 0.000 Ta
0.500 0.500 0.500 Cd
0.000 0.000 0.500 Hg
0.000 0.500 0.000 Hg
0.500 0.000 0.000 Hg
```

Raw total energy in eV per atom: -1.8693
Formation enthalpy at 0 K in eV per atom: 0.87
D(E_F) in states/eV/cell: 9.03
M_tot in μB per formula unit: 0.0

=====

# 3
Entry from Alexandria via LeMat-Bulk: a relaxed structure of KCr2In (PBE-GGA).

```
KCr2In
1.0
5.335 0.000 0.000
0.000 5.335 0.000
0.000 0.000 3.339
K Cr In
1 2 1
direct
0.000 0.000 0.000 K
0.000 0.500 0.500 Cr
0.500 0.000 0.500 Cr
0.500 0.500 0.000 In
```

Raw total energy in eV per atom: -4.7803
Formation enthalpy at 0 K in eV per atom: 0.99
D(E_F) in states/eV/cell: 1.14
M_tot in μB per formula unit: 9.0

=====

# 4
Entry from Alexandria via LeMat-Bulk: a relaxed structure of NbGa3F (PBE-GGA).

```
NbGa3F
1.0
5.147 0.000 0.000
0.000 5.147 0.000
0.000 0.000 5.147
Nb Ga F
1 3 1
direct
0.000 0.000 0.000 Nb
0.000 0.000 0.500 Ga
0.000 0.500 0.000 Ga
0.500 0.000 0.000 Ga
0.500 0.500 0.500 F
```

Raw total energy in eV per atom: -3.8868
D(E_F) in states/eV/cell: 4.65
M_tot in μB per formula unit: 2.4

=====

# 5
Entry from Alexandria via LeMat-Bulk: a relaxed structure of LaCo2As (PBE-GGA).

```
LaCo2As
1.0
-2.285 2.285 7.919
2.285 -2.285 7.919
2.285 2.285 -7.919
La Co As
2 4 2
direct
0.375 0.625 0.750 La
0.625 0.375 0.250 La
0.000 0.000 0.000 Co
0.000 0.000 0.500 Co
0.000 0.500 0.000 Co
0.500 0.000 0.500 Co
0.125 0.875 0.250 As
0.875 0.125 0.750 As
```

Raw total energy in eV per atom: -6.2906
Formation enthalpy at 0 K in eV per atom: -0.34
D(E_F) in states/eV/cell: 5.54
M_tot in μB per formula unit: 1.6